Record 1
Here is VNiPd6 after structural relaxation from Alexandria via LeMat-Bulk. Energies are from GGA-PBE.

Unit cell a=4.948 b=4.953 c=4.996 alpha=91.95 beta=92.27 gamma=92.65
Space group P-1 (No. 2)
One atom of each set of equivalent atoms:
V1 0.000 0.000 0.000
Ni1 0.500 0.500 0.500
Pd1 0.028 0.555 0.752
Pd2 0.247 0.968 0.441
Pd3 0.444 0.248 0.963

Computed properties:
The value obtained for the relative energy among the computed polymorphs is 0.156 eV/atom.

---

Record 2
Here is VNi8Pd6 after structural relaxation from Alexandria via LeMat-Bulk. Energies are from GGA-PBE.

Unit cell a=6.8302 b=6.8302 c=5.2277 alpha=90.00 beta=90.00 gamma=120.00
Space group P-3 (No. 147)
One atom of each set of equivalent atoms:
V1 0.0000 0.0000 0.0000
Ni1 0.0323 0.6778 0.8728
Ni2 0.3333 0.6667 0.1025
Pd1 0.0251 0.6861 0.3624

---

Record 3
Here is VNiPd3 after structural relaxation from Alexandria via LeMat-Bulk. Energies are from GGA-PBE.

Unit cell a=4.549 b=4.549 c=4.549 alpha=90.00 beta=90.00 gamma=90.00
Space group Pm-3m (No. 221)
One atom of each set of equivalent atoms:
V1 0.000 0.000 0.000
Ni1 0.500 0.500 0.500
Pd1 0.000 0.000 0.500

Computed properties:
The value obtained for the relative energy among the computed polymorphs is 0.985 eV/atom.

---

Number 1: volume 122.1 Å³ per cell, VASP energy -45.81 eV per cell, ΔE_f 0.03 eV/atom. Number 2: volume 211.2 Å³ per cell, VASP energy -84.03 eV per cell, ΔE_f 0.17 eV/atom. Number 3: volume 94.1 Å³ per cell, VASP energy -25.62 eV per cell, ΔE_f 0.97 eV/atom.